The following is a GGA-PBE calculation of SmDy5Al2 after structural relaxation, from Alexandria.

The structure in POSCAR format:
```
SmDy5Al2
1.0
-1.783 5.123 6.225
1.783 -5.123 6.225
1.783 5.123 -6.225
Sm Dy Al
1 5 2
direct
0.000 0.000 0.000
0.138 0.362 0.775
0.413 0.638 0.775
0.500 0.000 0.500
0.587 0.362 0.225
0.862 0.638 0.225
0.240 0.740 0.500
0.760 0.260 0.500
```

## Properties
SG: Immm, No. 71
Total magnetization, μB per atom: 0.0002
ΔH_f (0 K), eV per atom: -0.09